Below is a relaxed structure of Sr2La2Ag, with properties calculated at the GGA-PBE level.

Values from the calculation:
Total magnetic moment in μB per formula unit: 1.6
Energy relative to the elements in eV/atom: 0.128
Space group: P4/mbm (127)
N(E_F) in states/eV/f.u.: 7.7

a b c (Å): 7.975 7.975 6.320
angles (deg): 90.00 90.00 90.00
Site moments in Bohr magnetons follow the coordinates.
Positions (direct):
La1 0.639 0.139 0.000  0.24
Ag1 0.000 0.000 0.000  0.02
La2 0.139 0.361 0.000  0.24
Sr1 0.827 0.327 0.500  0.06
Sr2 0.327 0.173 0.500  0.06
La3 0.361 0.861 0.000  0.24
Ag2 0.500 0.500 0.000  0.02
Sr3 0.673 0.827 0.500  0.06
La4 0.861 0.639 0.000  0.24
Sr4 0.173 0.673 0.500  0.06